Record 1
Here is a geometry-optimized CaCrCo2 structure from Alexandria via LeMat-Bulk. Energies are from PBE.

Crystal system = tetragonal
Calculated formation energy = 0.602 eV per atom
Space-group type = P4/mmm (123)
Offset from the most stable computed form = 0.330 eV per atom

abc: 2.8840 4.4540 4.4540
angles: 90.00 90.00 90.00
Last column: magnetic moment on the atom in μB.
Element x y z (fractional)
Ca1 0.5000 0.0000 0.5000  -0.05
Cr1 0.5000 0.5000 0.0000  2.16
Co1 0.0000 0.0000 0.0000  0.25
Co2 0.0000 0.5000 0.5000  0.25

=====

Record 2
Here is a geometry-optimized Ac2PbS structure from Alexandria via LeMat-Bulk. Energies are from PBE.

Crystal system = trigonal
Space-group type = R3m (160)
Offset from the most stable computed form = 0.171 eV per atom

abc: 4.5392 4.5392 8.3858
angles: 74.30 74.30 60.00
Element x y z (fractional)
Ac1 0.0861 0.0861 0.7418
Ac2 0.2496 0.2496 0.2513
S1 0.4970 0.4970 0.5091
Pb1 0.6674 0.6674 0.9978

=====

Record 3
Here is a geometry-optimized BaAgP2 structure from Alexandria via LeMat-Bulk. Energies are from PBE.

Crystal system = trigonal
Calculated formation energy = -0.234 eV per atom
Space-group type = R-3m (166)
Offset from the most stable computed form = 0.250 eV per atom

abc: 6.1063 6.1063 6.1063
angles: 43.65 43.65 43.65
Element x y z (fractional)
P1 0.9466 0.9466 0.9466
P2 0.5534 0.5534 0.5534
Ba1 0.7500 0.7500 0.7500
Ag1 0.2500 0.2500 0.2500

=====

Record 4
Here is a geometry-optimized ReMoRh structure from Alexandria via LeMat-Bulk. Energies are from PBE.

Crystal system = tetragonal
Calculated formation energy = 0.237 eV per atom
Space-group type = I4mm (107)
Offset from the most stable computed form = 0.334 eV per atom

abc: 4.9680 4.9680 4.9680
angles: 141.99 141.99 54.84
Element x y z (fractional)
Re1 0.3441 0.3441 0.0000
Rh1 0.6652 0.6652 0.0000
Mo1 0.9907 0.9907 0.0000

=====

Record 5
Here is a geometry-optimized CaOsO3 structure from Alexandria via LeMat-Bulk. Energies are from PBE.

Crystal system = monoclinic
Raw total energy = -144.29 eV per cell
Space-group type = P2_1/c (14)

abc: 5.6258 6.9361 7.2145
angles: 90.00 88.83 90.00
Element x y z (fractional)
O1 0.5763 0.1530 0.6184
O2 0.8078 0.5653 0.4742
O3 0.5763 0.3470 0.1184
O4 0.4237 0.6530 0.8816
O5 0.1033 0.8140 0.6723
O6 0.1922 0.0653 0.0258
O7 0.1033 0.6860 0.1723
O8 0.4237 0.8470 0.3816
O9 0.8078 0.9347 0.9742
O10 0.1922 0.4347 0.5258
O11 0.8967 0.1860 0.3277
O12 0.8967 0.3140 0.8277
Ca1 0.6396 0.6738 0.1622
Ca2 0.6396 0.8262 0.6622
Ca3 0.3604 0.3262 0.8378
Ca4 0.3604 0.1738 0.3378
Os1 0.8664 0.3010 0.5657
Os2 0.1336 0.8010 0.9343
Os3 0.1336 0.6990 0.4343
Os4 0.8664 0.1990 0.0657

=====

Record 6
Here is a geometry-optimized Ba2PmScS5 structure from Alexandria via LeMat-Bulk. Energies are from PBE.

Crystal system = orthorhombic
Raw total energy = -107.85 eV per cell
Space-group type = Cmc2_1 (36)

abc: 4.2788 8.8897 13.3687
angles: 90.00 90.00 103.93
Element x y z (fractional)
S1 0.6250 0.2500 0.4984
S2 0.5098 0.0196 0.2778
S3 0.9508 0.9017 0.5442
S4 0.0492 0.0983 0.0442
S5 0.2830 0.5660 0.6559
S6 0.3750 0.7500 0.9984
S7 0.3246 0.6492 0.3835
S8 0.7170 0.4340 0.1559
S9 0.6754 0.3508 0.8835
S10 0.4902 0.9804 0.7778
Pm1 0.7873 0.5746 0.5170
Pm2 0.2127 0.4254 0.0170
Sc1 0.4727 0.9455 0.4526
Sc2 0.5273 0.0545 0.9526
Ba1 0.1051 0.2102 0.6877
Ba2 0.8949 0.7898 0.1877
Ba3 0.8586 0.7171 0.8068
Ba4 0.1414 0.2829 0.3068

=====

For the records above, the corresponding magnetic moment values read 2.6, 0.0, 0.0, 0.0, 0.0, 0.0 μB per formula unit.